Entry 1:
Entry from Alexandria via LeMat-Bulk: a relaxed Os2RhW crystal (GGA-PBE). Values from VASP.

Quantum ESPRESSO input file:
```
&SYSTEM
  ibrav = 0, nat = 4, ntyp = 3
/
ATOMIC_SPECIES
Rh 102.91 Rh.upf
W 183.84 W.upf
Os 190.23 Os.upf
CELL_PARAMETERS angstrom
-3.131 -1.601 1.672
-0.961 -1.658 -3.389
2.091 -3.116 0.931
ATOMIC_POSITIONS crystal
Rh 0.500 0.000 0.500
W 0.000 0.500 0.500
Os 0.500 0.500 0.000
Os 0.000 0.000 0.000
```

Computed properties:
* DFT formation energy: -0.076 eV/atom
* DOS(E_F): 0.650 states/eV/atom
* total DFT energy (no corrections): -10.77 eV per atom

=====

Entry 2:
Entry from Alexandria via LeMat-Bulk: a relaxed Os2RhW crystal (GGA-PBE). Values from VASP.

Quantum ESPRESSO input file:
```
&SYSTEM
  ibrav = 0, nat = 4, ntyp = 3
/
ATOMIC_SPECIES
Os 190.23 Os.upf
Rh 102.91 Rh.upf
W 183.84 W.upf
CELL_PARAMETERS angstrom
9.051 -1.376 0.000
9.051 1.376 0.000
8.842 0.000 2.373
ATOMIC_POSITIONS crystal
Os 0.249 0.249 0.249
Rh 0.500 0.500 0.500
Os 0.751 0.751 0.751
W 0.000 0.000 0.000
```

Computed properties:
* DFT formation energy: 0.118 eV/atom
* DOS(E_F): 0.882 states/eV/atom
* total DFT energy (no corrections): -10.57 eV per atom

=====

Entry 3:
Entry from Alexandria via LeMat-Bulk: a relaxed OsRhW crystal (GGA-PBE). Values from VASP.

Quantum ESPRESSO input file:
```
&SYSTEM
  ibrav = 0, nat = 12, ntyp = 3
/
ATOMIC_SPECIES
Rh 102.91 Rh.upf
Os 190.23 Os.upf
W 183.84 W.upf
CELL_PARAMETERS angstrom
3.887 0.000 0.000
0.000 5.549 0.000
0.000 0.000 8.249
ATOMIC_POSITIONS crystal
Rh 0.750 0.874 0.918
Os 0.250 0.118 0.743
Os 0.750 0.882 0.257
Rh 0.750 0.374 0.582
W 0.750 0.360 0.909
W 0.750 0.860 0.591
W 0.250 0.140 0.409
Rh 0.250 0.626 0.418
Rh 0.250 0.126 0.082
Os 0.250 0.618 0.757
Os 0.750 0.382 0.243
W 0.250 0.640 0.091
```

Computed properties:
* DFT formation energy: -0.080 eV/atom
* DOS(E_F): 0.606 states/eV/atom
* total DFT energy (no corrections): -10.59 eV per atom

=====

Entry 4:
Entry from Alexandria via LeMat-Bulk: a relaxed OsRh2W crystal (GGA-PBE). Values from VASP.

Quantum ESPRESSO input file:
```
&SYSTEM
  ibrav = 0, nat = 4, ntyp = 3
/
ATOMIC_SPECIES
Os 190.23 Os.upf
Rh 102.91 Rh.upf
W 183.84 W.upf
CELL_PARAMETERS angstrom
-1.371 0.226 2.334
0.179 -2.686 0.365
6.830 0.986 3.916
ATOMIC_POSITIONS crystal
Os 0.500 0.500 0.500
Rh 0.000 0.000 0.256
Rh 0.000 0.000 0.744
W 0.500 0.500 0.000
```

Computed properties:
* DFT formation energy: 0.029 eV/atom
* DOS(E_F): 1.384 states/eV/atom
* total DFT energy (no corrections): -9.69 eV per atom

=====

Entry 5:
Entry from Alexandria via LeMat-Bulk: a relaxed OsRh2W crystal (GGA-PBE). Values from VASP.

Quantum ESPRESSO input file:
```
&SYSTEM
  ibrav = 0, nat = 4, ntyp = 3
/
ATOMIC_SPECIES
Os 190.23 Os.upf
W 183.84 W.upf
Rh 102.91 Rh.upf
CELL_PARAMETERS angstrom
-1.374 0.544 4.137
-0.632 -2.671 0.141
4.442 -0.967 1.603
ATOMIC_POSITIONS crystal
Os 0.500 0.625 0.793
W 0.000 0.625 0.466
Rh 0.000 0.125 0.956
Rh 0.500 0.125 0.286
```

Computed properties:
* DFT formation energy: -0.129 eV/atom
* DOS(E_F): 0.788 states/eV/atom
* total DFT energy (no corrections): -9.85 eV per atom

=====

Entry 6:
Entry from Alexandria via LeMat-Bulk: a relaxed OsRh2W crystal (GGA-PBE). Values from VASP.

Quantum ESPRESSO input file:
```
&SYSTEM
  ibrav = 0, nat = 4, ntyp = 3
/
ATOMIC_SPECIES
Os 190.23 Os.upf
Rh 102.91 Rh.upf
W 183.84 W.upf
CELL_PARAMETERS angstrom
-1.430 -2.113 1.034
-0.423 -0.959 -2.546
6.541 -4.186 0.490
ATOMIC_POSITIONS crystal
Os 0.500 0.500 0.756
Rh 0.500 0.500 0.256
Rh 0.000 0.000 0.992
W 0.000 0.000 0.496
```

Computed properties:
* DFT formation energy: -0.022 eV/atom
* DOS(E_F): 0.763 states/eV/atom
* total DFT energy (no corrections): -9.74 eV per atom

=====

Entry 7:
Entry from Alexandria via LeMat-Bulk: a relaxed Os2RhW crystal (GGA-PBE). Values from VASP.

Quantum ESPRESSO input file:
```
&SYSTEM
  ibrav = 0, nat = 4, ntyp = 3
/
ATOMIC_SPECIES
W 183.84 W.upf
Os 190.23 Os.upf
Rh 102.91 Rh.upf
CELL_PARAMETERS angstrom
-3.664 1.837 2.380
-0.096 -4.717 0.452
1.572 0.186 2.278
ATOMIC_POSITIONS crystal
W 0.500 0.500 0.500
Os 0.500 0.000 0.000
Rh 0.000 0.000 0.500
Os 0.000 0.500 0.000
```

Computed properties:
* DFT formation energy: 0.053 eV/atom
* DOS(E_F): 0.909 states/eV/atom
* total DFT energy (no corrections): -10.64 eV per atom

=====

Entry 8:
Entry from Alexandria via LeMat-Bulk: a relaxed Os2RhW crystal (GGA-PBE). Values from VASP.

Quantum ESPRESSO input file:
```
&SYSTEM
  ibrav = 0, nat = 4, ntyp = 3
/
ATOMIC_SPECIES
W 183.84 W.upf
Os 190.23 Os.upf
Rh 102.91 Rh.upf
CELL_PARAMETERS angstrom
-3.104 0.822 -0.611
-0.864 -1.056 2.970
0.945 5.125 2.097
ATOMIC_POSITIONS crystal
W 0.500 0.500 0.500
Os 0.000 0.000 0.243
Os 0.000 0.000 0.757
Rh 0.500 0.500 0.000
```

Computed properties:
* DFT formation energy: 0.324 eV/atom
* DOS(E_F): 1.120 states/eV/atom
* total DFT energy (no corrections): -10.37 eV per atom

=====

Entry 9:
Entry from Alexandria via LeMat-Bulk: a relaxed Os2RhW2 crystal (GGA-PBE). Values from VASP.

Quantum ESPRESSO input file:
```
&SYSTEM
  ibrav = 0, nat = 10, ntyp = 3
/
ATOMIC_SPECIES
W 183.84 W.upf
Os 190.23 Os.upf
Rh 102.91 Rh.upf
CELL_PARAMETERS angstrom
7.404 0.000 0.000
0.000 7.404 0.000
0.000 0.000 2.908
ATOMIC_POSITIONS crystal
W 0.165 0.665 0.500
Os 0.634 0.134 0.000
Os 0.866 0.634 0.000
W 0.335 0.165 0.500
W 0.835 0.335 0.500
Rh 0.500 0.500 0.000
Rh 0.000 0.000 0.000
W 0.665 0.835 0.500
Os 0.134 0.366 0.000
Os 0.366 0.866 0.000
```

Computed properties:
* DFT formation energy: 0.190 eV/atom
* DOS(E_F): 0.578 states/eV/atom
* total DFT energy (no corrections): -10.95 eV per atom

=====

Entry 10:
Entry from Alexandria via LeMat-Bulk: a relaxed OsRhW crystal (GGA-PBE). Values from VASP.

Quantum ESPRESSO input file:
```
&SYSTEM
  ibrav = 0, nat = 3, ntyp = 3
/
ATOMIC_SPECIES
W 183.84 W.upf
Rh 102.91 Rh.upf
Os 190.23 Os.upf
CELL_PARAMETERS angstrom
0.000 2.989 2.989
2.989 0.000 2.989
2.989 2.989 0.000
ATOMIC_POSITIONS crystal
W 0.500 0.500 0.500
Rh 0.000 0.000 0.000
Os 0.250 0.250 0.250
```

Computed properties:
* DFT formation energy: 0.624 eV/atom
* DOS(E_F): 0.944 states/eV/atom
* total DFT energy (no corrections): -9.89 eV per atom

=====

Entry 11:
Entry from Alexandria via LeMat-Bulk: a relaxed OsRh2W2 crystal (GGA-PBE). Values from VASP.

Quantum ESPRESSO input file:
```
&SYSTEM
  ibrav = 0, nat = 10, ntyp = 3
/
ATOMIC_SPECIES
W 183.84 W.upf
Rh 102.91 Rh.upf
Os 190.23 Os.upf
CELL_PARAMETERS angstrom
-6.435 2.782 -2.865
0.352 -5.017 -5.662
-1.438 -1.788 1.495
ATOMIC_POSITIONS crystal
W 0.124 0.376 0.000
Rh 0.828 0.328 0.500
Rh 0.672 0.828 0.500
W 0.624 0.124 0.000
Os 0.500 0.500 0.000
Rh 0.328 0.172 0.500
W 0.876 0.624 0.000
W 0.376 0.876 0.000
Rh 0.172 0.672 0.500
Os 0.000 0.000 0.000
```

Computed properties:
* DFT formation energy: 0.384 eV/atom
* DOS(E_F): 0.824 states/eV/atom
* total DFT energy (no corrections): -9.98 eV per atom

=====

Entry 12:
Entry from Alexandria via LeMat-Bulk: a relaxed OsRh2W crystal (GGA-PBE). Values from VASP.

Quantum ESPRESSO input file:
```
&SYSTEM
  ibrav = 0, nat = 4, ntyp = 3
/
ATOMIC_SPECIES
Rh 102.91 Rh.upf
Os 190.23 Os.upf
W 183.84 W.upf
CELL_PARAMETERS angstrom
-2.625 -1.262 -1.495
1.254 -3.006 0.336
-2.555 -0.516 4.922
ATOMIC_POSITIONS crystal
Rh 0.500 0.500 0.250
Os 0.500 0.500 0.751
Rh 0.000 0.000 0.001
W 0.000 0.000 0.498
```

Computed properties:
* DFT formation energy: 0.185 eV/atom
* DOS(E_F): 1.281 states/eV/atom
* total DFT energy (no corrections): -9.54 eV per atom

=====

Question: The lowest DOS(E_F) belongs to which entry?
Answer: Os2RhW2